1.
# Cs2LiAgBr4 (PBE-GGA, relaxed)
data_Cs2LiAgBr4
_chemical_formula_sum 'Cs4 Li2 Ag2 Br8'
_cell_length_a 9.579
_cell_length_b 9.579
_cell_length_c 9.645
_cell_angle_alpha 113.94
_cell_angle_beta 113.94
_cell_angle_gamma 101.65
_symmetry_space_group_name_H-M 'P 1'
_symmetry_Int_Tables_number 1
loop_
_symmetry_equiv_pos_as_xyz
'x,y,z'
loop_
_atom_site_label
_atom_site_type_symbol
_atom_site_fract_x
_atom_site_fract_y
_atom_site_fract_z
Br1 Br 0.211 0.717 0.512
Br2 Br 0.789 0.283 0.488
Cs1 Cs 0.500 0.000 0.500
Ag1 Ag 0.000 0.500 0.500
Ag2 Ag 0.000 0.500 0.000
Li1 Li 0.500 0.500 0.500
Br3 Br 0.682 0.705 0.485
Br4 Br 0.795 0.818 0.015
Br5 Br 0.205 0.182 0.985
Cs2 Cs 0.000 0.000 0.500
Br6 Br 0.783 0.289 0.988
Br7 Br 0.318 0.295 0.515
Cs3 Cs 0.500 0.000 0.000
Br8 Br 0.217 0.711 0.012
Cs4 Cs 0.500 0.500 0.000
Li2 Li 0.000 0.000 0.000
# E_form (uncorrected) = -1.28 eV per atom
# magnetization = 0.0 μB per formula unit

=====

2.
# ThTiAl2 (PBE-GGA, relaxed)
data_ThTiAl2
_chemical_formula_sum 'Th1 Ti1 Al2'
_cell_length_a 3.189
_cell_length_b 3.189
_cell_length_c 7.995
_cell_angle_alpha 90.00
_cell_angle_beta 90.00
_cell_angle_gamma 90.00
_symmetry_space_group_name_H-M 'P 1'
_symmetry_Int_Tables_number 1
loop_
_symmetry_equiv_pos_as_xyz
'x,y,z'
loop_
_atom_site_label
_atom_site_type_symbol
_atom_site_fract_x
_atom_site_fract_y
_atom_site_fract_z
Al1 Al 0.000 0.000 0.791
Th1 Th 0.500 0.500 0.500
Al2 Al 0.000 0.000 0.209
Ti1 Ti 0.500 0.500 0.000
# energy of formation from the pure elements = -0.96 eV/f.u.
# E above lowest polymorph = 0.0 kJ/mol of atoms
# magnetization = 0.0 μB per formula unit

=====

3.
# AsP5 (PBE-GGA, relaxed)
data_AsP5
_chemical_formula_sum 'As1 P5'
_cell_length_a 8.753
_cell_length_b 8.753
_cell_length_c 3.289
_cell_angle_alpha 90.00
_cell_angle_beta 90.00
_cell_angle_gamma 157.60
_symmetry_space_group_name_H-M 'P 1'
_symmetry_Int_Tables_number 1
loop_
_symmetry_equiv_pos_as_xyz
'x,y,z'
loop_
_atom_site_label
_atom_site_type_symbol
_atom_site_fract_x
_atom_site_fract_y
_atom_site_fract_z
As1 As 0.000 0.000 0.000
P1 P 0.330 0.670 0.000
P2 P 0.666 0.334 0.000
P3 P 0.435 0.565 0.500
P4 P 0.122 0.878 0.500
P5 P 0.780 0.220 0.500
# energy of formation from the pure elements = 2.51 eV/f.u.
# E above lowest polymorph = 34.8 kJ/mol of atoms
# magnetization = 0.0 μB per formula unit

=====

4.
# BaMn2Sn2 (PBE-GGA, relaxed)
data_BaMn2Sn2
_chemical_formula_sum 'Ba2 Mn4 Sn4'
_cell_length_a 8.607
_cell_length_b 8.607
_cell_length_c 3.243
_cell_angle_alpha 90.00
_cell_angle_beta 90.00
_cell_angle_gamma 90.00
_symmetry_space_group_name_H-M 'P 1'
_symmetry_Int_Tables_number 1
loop_
_symmetry_equiv_pos_as_xyz
'x,y,z'
loop_
_atom_site_label
_atom_site_type_symbol
_atom_site_fract_x
_atom_site_fract_y
_atom_site_fract_z
Sn1 Sn 0.665 0.835 0.500
Mn1 Mn 0.616 0.116 0.000
Ba1 Ba 0.000 0.000 0.000
Sn2 Sn 0.835 0.335 0.500
Mn2 Mn 0.884 0.616 0.000
Ba2 Ba 0.500 0.500 0.000
Sn3 Sn 0.335 0.165 0.500
Mn3 Mn 0.116 0.384 0.000
Sn4 Sn 0.165 0.665 0.500
Mn4 Mn 0.384 0.884 0.000
# energy of formation from the pure elements = 0.45 eV/f.u.
# magnetization = 7.4 μB per formula unit

=====

5.
# HfIn2As2 (PBE-GGA, relaxed)
data_HfIn2As2
_chemical_formula_sum 'Hf2 In4 As4'
_cell_length_a 7.113
_cell_length_b 7.113
_cell_length_c 4.429
_cell_angle_alpha 90.00
_cell_angle_beta 90.00
_cell_angle_gamma 90.00
_symmetry_space_group_name_H-M 'P 1'
_symmetry_Int_Tables_number 1
loop_
_symmetry_equiv_pos_as_xyz
'x,y,z'
loop_
_atom_site_label
_atom_site_type_symbol
_atom_site_fract_x
_atom_site_fract_y
_atom_site_fract_z
As1 As 0.149 0.351 0.000
In1 In 0.334 0.166 0.500
Hf1 Hf 0.000 0.000 0.000
As2 As 0.649 0.149 0.000
As3 As 0.351 0.851 0.000
As4 As 0.851 0.649 0.000
In2 In 0.834 0.334 0.500
In3 In 0.166 0.666 0.500
Hf2 Hf 0.500 0.500 0.000
In4 In 0.666 0.834 0.500
# energy of formation from the pure elements = -0.74 eV/f.u.
# magnetization = 0.0 μB per formula unit

=====

6.
# CdGa4 (PBE-GGA, relaxed)
data_CdGa4
_chemical_formula_sum 'Cd1 Ga4'
_cell_length_a 3.136
_cell_length_b 3.136
_cell_length_c 10.218
_cell_angle_alpha 98.83
_cell_angle_beta 98.83
_cell_angle_gamma 90.00
_symmetry_space_group_name_H-M 'P 1'
_symmetry_Int_Tables_number 1
loop_
_symmetry_equiv_pos_as_xyz
'x,y,z'
loop_
_atom_site_label
_atom_site_type_symbol
_atom_site_fract_x
_atom_site_fract_y
_atom_site_fract_z
Cd1 Cd 0.000 0.000 0.000
Ga1 Ga 0.796 0.796 0.592
Ga2 Ga 0.608 0.608 0.216
Ga3 Ga 0.392 0.392 0.784
Ga4 Ga 0.204 0.204 0.408
# energy of formation from the pure elements = 0.20 eV/f.u.
# E above lowest polymorph = 0.7 kJ/mol of atoms
# magnetization = 0.0 μB per formula unit

=====

In order of appearance, raw total energy = -2.9285, -5.9392, -4.8655, -5.5639, -5.0936, -2.5655 eV/atom.